The following is a DFT calculation (GGA+U) of a geometry-optimized AlCr2O6 structure.

As for the final energy: -6.831 eV per atom. The value obtained for the calculated volume is 17.06 A^3/atom.

The space group is P-3m1 (No. 164) and the conventional cell measures 5.6077, 5.6077 and 5.6394 Å, with angles of 90.00, 90.00 and 120.00 degrees. The distinct sites, in fractional coordinates, are Al at (0.0000, 0.0000, 0.0000), Cr at (0.3333, 0.6667, 0.7719) and O at (0.1599, 0.3199, 0.8062).